Entry 1:
Crystalline GePH at its relaxed geometry, computed with PBE.

Properties
total DFT energy (no corrections) = -0.1624 Ha/atom
ΔE to the lowest computed polymorph = 0 meV/atom
total moment = 0.00 μB/cell
symmetry = Cmc2_1, No. 36

Cell lengths 3.712, 5.094, 6.090 Å; angles 90.00, 107.74, 90.00 degrees
Fractional positions:
P 0.188 0.207 0.375
P 0.812 0.707 0.625
Ge 0.375 0.432 0.750
Ge 0.625 0.932 0.250
H 0.099 0.401 0.197
H 0.901 0.901 0.803

Entry 2:
Crystalline FeTcP2 at its relaxed geometry, computed with PBE.

Properties
total DFT energy (no corrections) = -0.2855 Ha/atom
ΔE to the lowest computed polymorph = 52 meV/atom
total moment = 1.07 μB/cell
symmetry = P4mm, No. 99

Cell lengths 3.078, 3.078, 5.238 Å; angles 90.00, 90.00, 90.00 degrees
Fractional positions:
Fe 0.500 0.500 0.828
P 0.000 0.000 0.960
P 0.500 0.500 0.261
Tc 0.000 0.000 0.451

Entry 3:
Crystalline Ge3BiI at its relaxed geometry, computed with PBE.

Properties
total DFT energy (no corrections) = -0.1078 Ha/atom
ΔE to the lowest computed polymorph = 0 meV/atom
energy relative to the elements, uncorrected = 4.6 eV per formula unit
total moment = 0.76 μB/cell
symmetry = Pm-3m, No. 221

Cell lengths 5.656, 5.656, 5.656 Å; angles 90.00, 90.00, 90.00 degrees
Fractional positions:
I 0.500 0.500 0.500
Ge 0.000 0.500 0.000
Ge 0.000 0.000 0.500
Ge 0.500 0.000 0.000
Bi 0.000 0.000 0.000

Entry 4:
Crystalline La5TbN4 at its relaxed geometry, computed with PBE.

Properties
total DFT energy (no corrections) = -0.2708 Ha/atom
energy relative to the elements, uncorrected = -11.1 eV per formula unit
total moment = 0.00 μB/cell
symmetry = C2/m, No. 12

Cell lengths 3.644, 7.586, 8.260 Å; angles 101.96, 102.74, 90.00 degrees
Fractional positions:
La 0.846 0.701 0.691
La 0.838 0.153 0.676
La 0.162 0.847 0.324
La 0.500 0.500 0.000
La 0.154 0.299 0.309
Tb 0.500 0.000 0.000
N 0.341 0.925 0.682
N 0.000 0.765 0.999
N 0.659 0.075 0.318
N 0.000 0.235 0.001

Entry 5:
Crystalline MgPt2S at its relaxed geometry, computed with PBE.

Properties
total DFT energy (no corrections) = -0.1740 Ha/atom
ΔE to the lowest computed polymorph = 0 meV/atom
energy relative to the elements, uncorrected = -1.1 eV per formula unit
total moment = 0.00 μB/cell
symmetry = I-42d, No. 122

Cell lengths 4.794, 4.794, 7.966 Å; angles 72.49, 72.49, 90.00 degrees
Fractional positions:
S 0.000 0.000 0.000
S 0.750 0.250 0.500
Mg 0.500 0.500 0.000
Mg 0.250 0.750 0.500
Pt 0.724 0.125 0.250
Pt 0.026 0.625 0.250
Pt 0.375 0.276 0.750
Pt 0.875 0.974 0.750

Entry 6:
Crystalline FeAuCl2 at its relaxed geometry, computed with PBE.

Properties
total DFT energy (no corrections) = -0.1430 Ha/atom
ΔE to the lowest computed polymorph = 191 meV/atom
energy relative to the elements, uncorrected = -0.1 eV per formula unit
total moment = 3.92 μB/cell
symmetry = Cmmm, No. 65

Cell lengths 3.272, 3.272, 10.417 Å; angles 90.00, 90.00, 122.77 degrees
Fractional positions:
Au 0.500 0.500 0.750
Fe 0.500 0.500 0.250
Cl 0.000 0.000 0.085
Cl 0.000 0.000 0.415

Copy entry 2 word for word.
Crystalline FeTcP2 at its relaxed geometry, computed with PBE.

Properties
total DFT energy (no corrections) = -0.2855 Ha/atom
ΔE to the lowest computed polymorph = 52 meV/atom
total moment = 1.07 μB/cell
symmetry = P4mm, No. 99

Cell lengths 3.078, 3.078, 5.238 Å; angles 90.00, 90.00, 90.00 degrees
Fractional positions:
Fe 0.500 0.500 0.828
P 0.000 0.000 0.960
P 0.500 0.500 0.261
Tc 0.000 0.000 0.451

Question: Look up the total moment of the first one.
Answer: 0.00 μB/cell

Please write out number 3 again, unchanged.
Crystalline Ge3BiI at its relaxed geometry, computed with PBE.

Properties
total DFT energy (no corrections) = -0.1078 Ha/atom
ΔE to the lowest computed polymorph = 0 meV/atom
energy relative to the elements, uncorrected = 4.6 eV per formula unit
total moment = 0.76 μB/cell
symmetry = Pm-3m, No. 221

Cell lengths 5.656, 5.656, 5.656 Å; angles 90.00, 90.00, 90.00 degrees
Fractional positions:
I 0.500 0.500 0.500
Ge 0.000 0.500 0.000
Ge 0.000 0.000 0.500
Ge 0.500 0.000 0.000
Bi 0.000 0.000 0.000